The following is a DFT calculation (PBE) of a relaxed structure of Cu6GePd2.

Cell: 5.7495 5.7495 4.3457 Å, 112.09 112.09 80.07°
With the nearest neighbours (Å) after each atom.
Positions (direct):
Cu 0.1493 0.5232 0.3347  7 Cu 2.51-2.77, 3 Pd 2.58-2.62, 1 Ge 2.63
Cu 0.1823 0.8177 0.0000  2 Ge 2.56, 7 Cu 2.58-2.70, 2 Pd 2.71
Cu 0.4768 0.8507 0.6653  7 Cu 2.51-2.77, 3 Pd 2.58-2.62, 1 Ge 2.63
Cu 0.5232 0.1493 0.3347  7 Cu 2.51-2.77, 3 Pd 2.58-2.62, 1 Ge 2.63
Cu 0.8177 0.1823 0.0000  2 Ge 2.56, 7 Cu 2.58-2.70, 2 Pd 2.71
Cu 0.8507 0.4768 0.6653  7 Cu 2.51-2.77, 3 Pd 2.58-2.62, 1 Ge 2.63
Ge 0.0000 0.0000 0.5000  2 Pd 2.48, 8 Cu 2.56-2.63
Pd 0.3240 0.3240 0.8222  1 Ge 2.48, 8 Cu 2.58-2.71, 1 Pd 2.70
Pd 0.6760 0.6760 0.1778  1 Ge 2.48, 8 Cu 2.58-2.71, 1 Pd 2.70

Results
- Total energy: -39.7 eV for the cell shown
- Spin magnetization: 0.00 Bohr magnetons per cell
- ΔE to the lowest computed polymorph: 69 meV per atom

***

The following is a DFT calculation (PBE) of a relaxed structure of SrUZn2O6.

Cell: 7.5368 7.5368 6.4669 Å, 108.53 108.53 82.28°
With the nearest neighbours (Å) after each atom.
Positions (direct):
Sr 0.1005 0.8995 0.7500  6 O 2.42-2.62
Sr 0.8995 0.1005 0.2500  6 O 2.42-2.62
U 0.2764 0.7236 0.2500  6 O 2.00-2.18
U 0.7236 0.2764 0.7500  6 O 2.00-2.18
Zn 0.2306 0.3600 0.8534  4 O 1.95-2.06
Zn 0.3600 0.2306 0.3534  4 O 1.95-2.06
Zn 0.6400 0.7694 0.6466  4 O 1.95-2.06
Zn 0.7694 0.6400 0.1466  4 O 1.95-2.06
O 0.0000 0.2218 0.6961  1 Zn 1.96, 1 U 2.18
O 0.0000 0.7782 0.3039  1 Zn 1.96, 1 U 2.18
O 0.1875 0.6387 0.9088  1 U 2.00, 1 Zn 2.01
O 0.2218 0.0000 0.1961  1 Zn 1.96, 1 U 2.18
O 0.2844 0.4256 0.2014  2 Zn 1.95-2.06, 1 U 2.16
O 0.3613 0.8125 0.5912  1 U 2.00, 1 Zn 2.01
O 0.4256 0.2844 0.7014  2 Zn 1.95-2.06, 1 U 2.16
O 0.5744 0.7156 0.2986  2 Zn 1.95-2.06, 1 U 2.16
O 0.6387 0.1875 0.4088  1 U 2.00, 1 Zn 2.01
O 0.7156 0.5744 0.7986  2 Zn 1.95-2.06, 1 U 2.16
O 0.7782 0.0000 0.8039  1 Zn 1.96, 1 U 2.18
O 0.8125 0.3613 0.0912  1 U 2.00, 1 Zn 2.01

Results
- Total energy: -138.3 eV for the cell shown
- Spin magnetization: 0.00 Bohr magnetons per cell

***

The following is a DFT calculation (PBE) of a relaxed structure of YUTl2S4.

Cell: 6.9797 4.0403 7.9380 Å, 90.00 107.12 90.00°
With the nearest neighbours (Å) after each atom.
Positions (direct):
Y 0.0000 0.0000 0.0000  6 S 2.77
U 0.5000 0.5000 0.0000  6 S 2.76
Tl 0.0000 0.5000 0.5000  6 S 3.28
Tl 0.5000 0.0000 0.5000  6 S 3.27
S 0.2327 0.5000 0.1966  1 U 2.76, 2 Y 2.77
S 0.2693 0.0000 0.8039  2 U 2.76, 1 Y 2.77
S 0.7307 0.0000 0.1961  2 U 2.76, 1 Y 2.77
S 0.7673 0.5000 0.8034  1 U 2.76, 2 Y 2.77

Results
- Total energy: -48.9 eV for the cell shown
- Spin magnetization: 3.01 Bohr magnetons per cell

***

The following is a DFT calculation (PBE) of a relaxed structure of Tm5Bi2Pb2.

Cell: 8.7495 8.7495 8.2371 Å, 90.00 90.00 55.96°
With the nearest neighbours (Å) after each atom.
Positions (direct):
Tm 0.0000 0.0000 0.0000  2 Bi 3.14, 4 Pb 3.15-3.17
Tm 0.0278 0.7067 0.6598  3 Pb 3.07-3.24, 3 Bi 3.15-3.28
Tm 0.2067 0.5278 0.1598  3 Pb 3.07-3.24, 3 Bi 3.15-3.28
Tm 0.2933 0.9722 0.6598  3 Pb 3.07-3.24, 3 Bi 3.15-3.28
Tm 0.4722 0.7933 0.1598  3 Pb 3.07-3.24, 3 Bi 3.15-3.28
Tm 0.5000 0.5000 0.5000  2 Bi 3.14, 4 Pb 3.15-3.17
Tm 0.5278 0.2067 0.8402  3 Pb 3.07-3.24, 3 Bi 3.15-3.28
Tm 0.7067 0.0278 0.3402  3 Pb 3.07-3.24, 3 Bi 3.15-3.28
Tm 0.7933 0.4722 0.8402  3 Pb 3.07-3.24, 3 Bi 3.15-3.28
Tm 0.9722 0.2933 0.3402  3 Pb 3.07-3.24, 3 Bi 3.15-3.28
Bi 0.2031 0.2031 0.0000  7 Tm 3.14-3.28
Bi 0.2969 0.2969 0.5000  7 Tm 3.14-3.28
Bi 0.7031 0.7031 0.5000  7 Tm 3.14-3.28
Bi 0.7969 0.7969 0.0000  7 Tm 3.14-3.28
Pb 0.1437 0.8563 0.3570  8 Tm 3.07-3.24, 1 Pb 3.33
Pb 0.3563 0.6437 0.8570  8 Tm 3.07-3.24, 1 Pb 3.33
Pb 0.6437 0.3563 0.1430  8 Tm 3.07-3.24, 1 Pb 3.33
Pb 0.8563 0.1437 0.6430  8 Tm 3.07-3.24, 1 Pb 3.33

Results
- Total energy: -85.9 eV for the cell shown
- Spin magnetization: 0.28 Bohr magnetons per cell
- ΔE to the lowest computed polymorph: 0 meV per atom

***

The following is a DFT calculation (PBE) of a relaxed structure of LaNb3Fe.

Cell: 4.7615 4.7615 4.7615 Å, 90.00 90.00 90.00°
With the nearest neighbours (Å) after each atom.
Positions (direct):
La 0.0000 0.0000 0.0000  12 Nb 3.37
Nb 0.0000 0.5000 0.5000  2 Fe 2.38
Nb 0.5000 0.0000 0.5000  2 Fe 2.38
Nb 0.5000 0.5000 0.0000  2 Fe 2.38
Fe 0.5000 0.5000 0.5000  6 Nb 2.38

Results
- Total energy: -41.1 eV for the cell shown
- Spin magnetization: 0.00 Bohr magnetons per cell

***

The following is a DFT calculation (PBE) of a relaxed structure of Pr2HoHg2.

Cell: 6.5946 6.5946 6.5946 Å, 143.92 112.32 79.16°
With the nearest neighbours (Å) after each atom.
Positions (direct):
Pr 0.2098 0.2098 0.0000  6 Hg 3.32-3.66, 2 Ho 3.59
Pr 0.7902 0.7902 0.0000  6 Hg 3.32-3.66, 2 Ho 3.59
Ho 0.5000 0.0000 0.5000  4 Hg 2.97
Hg 0.2055 0.5000 0.7055  2 Ho 2.97, 1 Hg 3.02, 4 Pr 3.32
Hg 0.7945 0.5000 0.2945  2 Ho 2.97, 1 Hg 3.02, 4 Pr 3.32

Results
- Total energy: -16.2 eV for the cell shown
- Spin magnetization: 0.00 Bohr magnetons per cell
- ΔE to the lowest computed polymorph: 65 meV per atom

***

The following is a DFT calculation (PBE) of a relaxed structure of KScC.

Cell: 4.3219 4.3219 10.3561 Å, 90.13 90.13 90.00°
With the nearest neighbours (Å) after each atom.
Positions (direct):
K 0.2471 0.2471 0.1980  2 C 3.22-3.23, 1 Sc 3.27
K 0.7529 0.7529 0.8020  2 C 3.22-3.23, 1 Sc 3.27
Sc 0.2515 0.2487 0.5134  4 C 2.24-2.33
Sc 0.7513 0.7485 0.4866  4 C 2.24-2.33
C 0.7512 0.2482 0.4290  1 C 1.47
C 0.7518 0.2488 0.5710  1 C 1.47

Results
- Total energy: -32.2 eV for the cell shown
- Spin magnetization: 0.00 Bohr magnetons per cell
- ΔE to the lowest computed polymorph: 231 meV per atom

***

The following is a DFT calculation (PBE) of a relaxed structure of MgZn2AsIr.

Cell: 4.7700 4.7700 4.9084 Å, 90.00 90.00 90.00°
With the nearest neighbours (Å) after each atom.
Positions (direct):
Mg 0.0000 0.0000 0.0000  2 Ir 2.45
Zn 0.0000 0.5000 0.5000  2 Ir 2.38
Zn 0.5000 0.0000 0.5000  2 Ir 2.38
As 0.5000 0.5000 0.0000  4 Mg 3.37, 8 Zn 3.42
Ir 0.0000 0.0000 0.5000  4 Zn 2.38, 2 Mg 2.45

Results
- Total energy: -15.8 eV for the cell shown
- Spin magnetization: 0.00 Bohr magnetons per cell
- ΔE to the lowest computed polymorph: 0 meV per atom

***

The following is a DFT calculation (PBE) of a relaxed structure of CaSe2Br.

Cell: 9.5641 9.5641 9.5641 Å, 24.05 24.05 24.05°
With the nearest neighbours (Å) after each atom.
Positions (direct):
Ca 0.0000 0.0000 0.0000  2 Se 2.71
Se 0.0973 0.0973 0.0973  1 Ca 2.71, 3 Br 3.00
Se 0.9027 0.9027 0.9027  1 Ca 2.71, 3 Br 3.00
Br 0.5000 0.5000 0.5000  6 Se 3.00

Results
- Total energy: -9.5 eV for the cell shown
- Spin magnetization: 0.00 Bohr magnetons per cell
- ΔE to the lowest computed polymorph: 1373 meV per atom

***

The following is a DFT calculation (PBE) of a relaxed structure of CaRe2As.

Cell: 3.0409 3.0409 7.9252 Å, 90.00 90.00 90.00°
With the nearest neighbours (Å) after each atom.
Positions (direct):
Ca 0.0000 0.0000 0.0000  4 Ca 3.04, 4 Re 3.13, 4 As 3.27
Re 0.0000 0.0000 0.4812  4 Re 2.65, 4 As 2.71
Re 0.5000 0.5000 0.2865  4 Re 2.65
As 0.5000 0.5000 0.6887  4 Re 2.71

Results
- Total energy: -31.1 eV for the cell shown
- Spin magnetization: 0.00 Bohr magnetons per cell

***

The following is a DFT calculation (PBE) of a relaxed structure of Ti2Tl2Fe.

Cell: 8.0523 8.0523 8.0523 Å, 153.92 153.92 37.21°
With the nearest neighbours (Å) after each atom.
Positions (direct):
Ti 0.2500 0.7500 0.5000  4 Ti 2.57
Ti 0.7500 0.2500 0.5000  4 Ti 2.57
Tl 0.0954 0.0954 0.0000  1 Tl 2.91, 4 Fe 2.95, 4 Ti 2.98
Tl 0.9046 0.9046 0.0000  1 Tl 2.91, 4 Fe 2.95, 4 Ti 2.98
Fe 0.5000 0.5000 0.0000  8 Tl 2.95

Results
- Total energy: -25.8 eV for the cell shown
- Spin magnetization: 2.60 Bohr magnetons per cell

***

The following is a DFT calculation (PBE) of a relaxed structure of TiSb2Pt.

Cell: 6.1509 6.1509 6.1509 Å, 104.91 104.91 119.04°
With the nearest neighbours (Å) after each atom.
Positions (direct):
Ti 0.0000 0.0000 0.0000  4 Sb 2.89, 2 Pt 3.12
Ti 0.7500 0.2500 0.5000  4 Sb 2.89, 2 Pt 3.12
Sb 0.1485 0.6250 0.0235  2 Pt 2.65, 2 Ti 2.89
Sb 0.3750 0.3985 0.5235  2 Pt 2.65, 2 Ti 2.89
Sb 0.6015 0.1250 0.9765  2 Pt 2.65, 2 Ti 2.89
Sb 0.8750 0.8515 0.4765  2 Pt 2.65, 2 Ti 2.89
Pt 0.2500 0.7500 0.5000  4 Sb 2.65
Pt 0.5000 0.5000 0.0000  4 Sb 2.65

Results
- Total energy: -44.9 eV for the cell shown
- Spin magnetization: 0.09 Bohr magnetons per cell
- ΔE to the lowest computed polymorph: 44 meV per atom